{"formula": "AcMgTlSb", "functional": "PBE-GGA", "state": "optimized geometry", "e_tot_ev_per_atom": -3.39, "sg": "F-43m", "rho_g_cm3": 8.0, "e_form_raw_ev_per_fu": -1.4, "crystal_system": "cubic", "dos_ef_per_ev_atom": 1.118, "cell": [[0.0000, 3.9200, 3.9200], [3.9200, 0.0000, 3.9200], [3.9200, 3.9200, 0.0000]], "species": ["Ac", "Mg", "Tl", "Sb"], "fractional_positions": [[0.0000, 0.0000, 0.0000], [0.5000, 0.5000, 0.5000], [0.7500, 0.7500, 0.7500], [0.2500, 0.2500, 0.2500]]}